# Y2GaAg2

A geometry-optimized Y2GaAg2 structure (GGA-PBE, Alexandria via LeMat-Bulk).

Summary:
- energy of formation (eV/atom) = -0.328
- total magnetization (μB/cell) = 0.000
- relative energy among the computed polymorphs (meV/atom) = 50.7
- space-group type = P4/mbm

a = 7.623 Å, b = 7.623 Å, c = 4.005 Å
α = 90.00°, β = 90.00°, γ = 90.00°
Atoms (fractional coordinates):
1 Ga 0.000 0.000 0.000
2 Ga 0.500 0.500 0.000
3 Ag 0.871 0.629 0.000
4 Ag 0.371 0.871 0.000
5 Ag 0.629 0.129 0.000
6 Ag 0.129 0.371 0.000
7 Y 0.674 0.826 0.500
8 Y 0.174 0.674 0.500
9 Y 0.326 0.174 0.500
10 Y 0.826 0.326 0.500

---

# PmScPd4

A geometry-optimized PmScPd4 structure (GGA-PBE, Alexandria via LeMat-Bulk).

Summary:
- energy of formation (eV/atom) = -0.715
- total magnetization (μB/cell) = 0.000
- space-group type = F-43m

a = 5.414 Å, b = 5.414 Å, c = 5.414 Å
α = 60.00°, β = 60.00°, γ = 60.00°
Atoms (fractional coordinates):
1 Pd 0.625 0.126 0.625
2 Pd 0.126 0.625 0.625
3 Pd 0.625 0.625 0.625
4 Pd 0.625 0.625 0.126
5 Pm 0.000 0.000 0.000
6 Sc 0.250 0.250 0.250

---

# Ag6PdAu2

A geometry-optimized Ag6PdAu2 structure (GGA-PBE, Alexandria via LeMat-Bulk).

Summary:
- energy of formation (eV/atom) = -0.003
- total magnetization (μB/cell) = 0.000
- relative energy among the computed polymorphs (meV/atom) = 15.2
- space-group type = C2/m

a = 4.807 Å, b = 4.566 Å, c = 8.611 Å
α = 95.19°, β = 90.00°, γ = 121.76°
Atoms (fractional coordinates):
1 Ag 0.334 0.667 0.719
2 Ag 0.666 0.333 0.281
3 Ag 0.332 0.665 0.392
4 Ag 0.999 0.999 0.170
5 Ag 0.668 0.335 0.608
6 Ag 0.001 0.001 0.830
7 Au 0.667 0.334 0.943
8 Au 0.333 0.666 0.057
9 Pd 0.000 0.000 0.500

---

# LaSmHg6

A geometry-optimized LaSmHg6 structure (GGA-PBE, Alexandria via LeMat-Bulk).

Summary:
- energy of formation (eV/atom) = -0.402
- total magnetization (μB/cell) = 0.000
- space-group type = Amm2

a = 5.076 Å, b = 6.830 Å, c = 6.830 Å
α = 119.61°, β = 90.00°, γ = 90.00°
Atoms (fractional coordinates):
1 Hg 0.000 0.586 0.414
2 Hg 0.000 0.068 0.405
3 Hg 0.000 0.595 0.932
4 Hg 0.500 0.919 0.081
5 Hg 0.500 0.909 0.577
6 Hg 0.500 0.423 0.091
7 La 0.500 0.412 0.588
8 Sm 0.000 0.088 0.912

---

# PuHfBi2

A geometry-optimized PuHfBi2 structure (GGA-PBE, Alexandria via LeMat-Bulk).

Summary:
- energy of formation (eV/atom) = -0.154
- total magnetization (μB/cell) = 6.061
- relative energy among the computed polymorphs (meV/atom) = 0.0
- space-group type = P4/mmm

a = 3.613 Å, b = 3.613 Å, c = 8.136 Å
α = 90.00°, β = 90.00°, γ = 90.00°
Each line ends with the local moment (μB).
Atoms (fractional coordinates):
1 Hf 0.500 0.500 0.000  0.01
2 Bi 0.000 0.000 0.773  -0.04
3 Bi 0.000 0.000 0.227  -0.04
4 Pu 0.500 0.500 0.500  5.63

---

# SmDyP2Rh5

A geometry-optimized SmDyP2Rh5 structure (GGA-PBE, Alexandria via LeMat-Bulk).

Summary:
- energy of formation (eV/atom) = -0.756
- total magnetization (μB/cell) = 0.000
- space-group type = P4/mmm

a = 4.048 Å, b = 4.048 Å, c = 10.712 Å
α = 90.00°, β = 90.00°, γ = 90.00°
Atoms (fractional coordinates):
1 Rh 0.500 0.000 0.805
2 Rh 0.000 0.500 0.195
3 Rh 0.500 0.500 0.500
4 Rh 0.500 0.000 0.195
5 Rh 0.000 0.500 0.805
6 P 0.500 0.500 0.712
7 P 0.500 0.500 0.288
8 Dy 0.000 0.000 0.000
9 Sm 0.000 0.000 0.500